This record from Alexandria describes AlCo2Tc after structural relaxation. The functional is PBE.

The volume comes out at 12.595 A^3/atom. The formation energy is -6 kJ/mol of atoms.

It has space group Pmmm (No. 47), with a = 3.010 Å, b = 4.058 Å, c = 4.124 Å, α = 90.00°, β = 90.00° and γ = 90.00°. The asymmetric unit holds Al at (0.000, 0.000, 0.000), Co at (0.000, 0.500, 0.500), Co at (0.500, 0.500, 0.000) and Tc at (0.500, 0.000, 0.500).